Material: Tc2Rh
Method: DFT, PBE
State: optimized geometry

a b c (Å): 5.127 5.127 8.031
angles (deg): 90.00 90.00 120.00
Element x y z (fractional)
Rh1 0.333 0.667 0.420
Rh2 0.667 0.333 0.920
Rh3 0.667 0.333 0.580
Rh4 0.333 0.667 0.080
Tc1 0.649 0.825 0.750
Tc2 0.351 0.175 0.250
Tc3 0.175 0.825 0.750
Tc4 0.825 0.175 0.250
Tc5 0.175 0.351 0.750
Tc6 0.000 0.000 0.500
Tc7 0.825 0.649 0.250
Tc8 0.000 0.000 0.000

Magnetization: 0.00 μB/cell
Energy of formation from the pure elements: 0.242 eV per atom
Energy above the lowest structure with this stoichiometry: 360 meV/atom
SG: P6_3/mmc